Computed, not measured: a relaxed structure of CaRe2As at the PBE level of DFT.

Results
Spin magnetization, μB/cell: 0.00
Energy of formation from the pure elements, eV per atom: 0.399

Cell: 5.7389 5.7389 5.7389 Å, 150.14 131.53 57.98°
Atoms (fractional coordinates):
Ca 0.0000 0.0000 0.0000
Re 0.2901 0.7901 0.5000
Re 0.7099 0.2099 0.5000
As 0.5000 0.5000 0.0000